Material: Ta2BeAs
Method: DFT, PBE-GGA
State: relaxed

Cell: 3.499 4.474 3.954 Å, 90.00 90.00 90.00°
Fractional coordinates of all 4 atoms:
Be 0.000 0.500 0.500
As 0.500 0.000 0.500
Ta 0.500 0.500 0.000
Ta 0.000 0.000 0.000

## Properties
energy relative to the lowest polymorph listed for this composition = 391 meV/atom
total energy = -31.9 eV per cell
DOS at the Fermi energy = 0.514 states/eV/atom
space group = Pmmm, No. 47